1.
Compound: BaP
Source: Alexandria
Functional: PBE
Structure: optimized geometry

Lattice parameters (Å, degrees): 4.452 19.192 4.764 90.00 90.00 90.00
Space group Cmmm (No. 65)
Symmetry-distinct sites (fractional):
Ba (0.000, 0.000, 0.000) (multiplicity 2)
Ba (0.000, 0.337, 0.500) (multiplicity 4)
P (0.000, 0.222, 0.000) (multiplicity 4)
P (0.000, 0.500, 0.500) (multiplicity 2)

Raw total energy ... -54.68 eV per cell
Fermi-level density of states ... 0.668 states/eV/f.u.



2.
Compound: Ba5P4
Source: Alexandria
Functional: PBE
Structure: optimized geometry

Lattice parameters (Å, degrees): 8.435 16.746 8.520 90.00 90.00 90.00
Space group Pnma (No. 62)
Symmetry-distinct sites (fractional):
Ba (0.074, 0.103, 0.166) (multiplicity 8)
Ba (0.092, 0.603, 0.343) (multiplicity 8)
Ba (0.246, 0.250, 0.505) (multiplicity 4)
P (0.147, 0.250, 0.912) (multiplicity 4)
P (0.158, 0.750, 0.601) (multiplicity 4)
P (0.247, 0.053, 0.507) (multiplicity 8)

Raw total energy ... -161.38 eV per cell
Distance to the lowest polymorph of the same formula ... 0 meV/atom



3.
Compound: BaP
Source: Alexandria
Functional: PBE
Structure: optimized geometry

Lattice parameters (Å, degrees): 6.592 6.592 6.592 90.00 90.00 90.00
Space group Fm-3m (No. 225)
Symmetry-distinct sites (fractional):
Ba (0.000, 0.000, 0.000) (multiplicity 4)
P (0.000, 0.000, 0.500) (multiplicity 4)

Raw total energy ... -34.04 eV per cell
Fermi-level density of states ... 4.104 states/eV/f.u.



4.
Compound: BaP3
Source: Alexandria
Functional: PBE
Structure: optimized geometry

Lattice parameters (Å, degrees): 5.978 6.668 5.220 90.00 90.00 90.00
Space group Pmmn (No. 59, origin choice 2)
Symmetry-distinct sites (fractional):
Ba (0.250, 0.250, 0.104) (multiplicity 2)
P (0.250, 0.593, 0.564) (multiplicity 4)
P (0.250, 0.750, 0.178) (multiplicity 2)

Raw total energy ... -39.35 eV per cell
Fermi-level density of states ... 1.317 states/eV/f.u.



5.
Compound: BaP3
Source: Alexandria
Functional: PBE
Structure: optimized geometry

Lattice parameters (Å, degrees): 6.5041 6.5041 10.1735 90.00 90.00 120.00
Space group P6_3/mmc (No. 194)
Symmetry-distinct sites (fractional):
Ba (0.0000, 0.0000, 0.0000) (multiplicity 2)
Ba (0.3333, 0.6667, 0.2500) (multiplicity 2)
P (0.0000, 0.5000, 0.0000) (multiplicity 6)
P (0.2197, 0.4393, 0.7500) (multiplicity 6)

Raw total energy ... -73.87 eV per cell
Fermi-level density of states ... 2.135 states/eV/f.u.



6.
Compound: BaP3
Source: Alexandria
Functional: PBE
Structure: optimized geometry

Lattice parameters (Å, degrees): 4.291 4.604 5.087 90.00 90.00 90.00
Space group Pmmm (No. 47)
Symmetry-distinct sites (fractional):
Ba (0.000, 0.000, 0.000) (multiplicity 1)
P (0.000, 0.500, 0.500) (multiplicity 1)
P (0.500, 0.500, 0.277) (multiplicity 2)

Raw total energy ... -19.43 eV per cell
Fermi-level density of states ... 1.730 states/eV/f.u.



7.
Compound: BaP3
Source: Alexandria
Functional: PBE
Structure: optimized geometry

Lattice parameters (Å, degrees): 9.8119 9.8119 3.3267 90.00 90.00 120.00
Space group R-3m (No. 166, hexagonal axes)
Symmetry-distinct sites (fractional):
Ba (0.0000, 0.0000, 0.0000) (multiplicity 3)
P (0.0000, 0.5000, 0.0000) (multiplicity 9)

Raw total energy ... -48.74 eV per cell
Fermi-level density of states ... 2.859 states/eV/f.u.



8.
Compound: BaP3
Source: Alexandria
Functional: PBE
Structure: optimized geometry

Lattice parameters (Å, degrees): 6.598 7.859 8.260 90.00 105.29 90.00
Space group P2_1/c (No. 14)
Symmetry-distinct sites (fractional):
Ba (0.188, 0.108, 0.304) (multiplicity 4)
P (0.199, 0.727, 0.542) (multiplicity 4)
P (0.312, 0.543, 0.188) (multiplicity 4)
P (0.463, 0.632, 0.447) (multiplicity 4)

Raw total energy ... -83.15 eV per cell



9.
Compound: BaP3
Source: Alexandria
Functional: PBE
Structure: optimized geometry

Lattice parameters (Å, degrees): 6.2777 6.2777 6.4478 90.00 90.00 120.00
Space group P6_3/mmc (No. 194)
Symmetry-distinct sites (fractional):
Ba (0.3333, 0.6667, 0.2500) (multiplicity 2)
P (0.1157, 0.2313, 0.7500) (multiplicity 6)

Raw total energy ... -38.44 eV per cell
Fermi-level density of states ... 2.001 states/eV/f.u.



10.
Compound: BaP
Source: Alexandria
Functional: PBE
Structure: optimized geometry

Lattice parameters (Å, degrees): 11.227 4.532 5.023 90.00 98.13 90.00
Space group C2/m (No. 12)
Symmetry-distinct sites (fractional):
Ba (0.129, 0.000, 0.232) (multiplicity 4)
P (0.082, 0.500, 0.659) (multiplicity 4)

Raw total energy ... -36.88 eV per cell
Fermi-level density of states ... 0.118 states/eV/f.u.



11.
Compound: BaP3
Source: Alexandria
Functional: PBE
Structure: optimized geometry

Lattice parameters (Å, degrees): 4.458 4.458 4.458 90.00 90.00 90.00
Space group Pm-3m (No. 221)
Symmetry-distinct sites (fractional):
Ba (0.000, 0.000, 0.000) (multiplicity 1)
P (0.000, 0.500, 0.500) (multiplicity 3)

Raw total energy ... -17.34 eV per cell
Fermi-level density of states ... 1.038 states/eV/f.u.



12.
Compound: BaP
Source: Alexandria
Functional: PBE
Structure: optimized geometry

Lattice parameters (Å, degrees): 4.7647 4.7647 3.5754 90.00 90.00 120.00
Space group P-6m2 (No. 187)
Symmetry-distinct sites (fractional):
Ba (0.0000, 0.0000, 0.0000) (multiplicity 1)
P (0.6667, 0.3333, 0.5000) (multiplicity 1)

Raw total energy ... -8.44 eV per cell
Fermi-level density of states ... 3.736 states/eV/f.u.



> Number 8 is which compound?

BaP3



> Among the records above, which one has the highest raw total energy?

number 12



> Number 2 is which compound?

Ba5P4



Copy entry 9 word for word.
Compound: BaP3
Source: Alexandria
Functional: PBE
Structure: optimized geometry

Lattice parameters (Å, degrees): 6.2777 6.2777 6.4478 90.00 90.00 120.00
Space group P6_3/mmc (No. 194)
Symmetry-distinct sites (fractional):
Ba (0.3333, 0.6667, 0.2500) (multiplicity 2)
P (0.1157, 0.2313, 0.7500) (multiplicity 6)

Raw total energy ... -38.44 eV per cell
Fermi-level density of states ... 2.001 states/eV/f.u.